DFT (PBE) results for crystalline YCo3H2 at its relaxed geometry.

As for the raw total energy: -322.5 eV/cell.

The structure belongs to space group R-3m (No. 166, hexagonal axes); the cell edges are 4.9220, 4.9220 and 26.9887 Å and the angles 90.00°, 90.00° and 120.00°. The inequivalent atoms are Y at (0.0000, 0.0000, 0.0000), Y at (0.0000, 0.0000, 0.1284), Co at (0.0000, 0.0000, 0.3322), Co at (0.0000, 0.0000, 0.5000), Co at (0.0016, 0.5008, 0.0719) and H at (0.0037, 0.5018, 0.1348).